Entry 1:
# Mg3MnZn PBEsol relaxed
data_Mg3MnZn
_space_group_name_H-M_alt 'P 1'
_space_group_IT_number 1
_cell_length_a 5.029
_cell_length_b 5.029
_cell_length_c 5.029
_cell_angle_alpha 90.00
_cell_angle_beta 90.00
_cell_angle_gamma 90.00
loop_
_space_group_symop_operation_xyz
'x,y,z'
loop_
_atom_site_label
_atom_site_type_symbol
_atom_site_fract_x
_atom_site_fract_y
_atom_site_fract_z
Zn1 Zn 0.500 0.500 0.500
Mn1 Mn 0.000 0.000 0.000
Mg1 Mg 0.000 0.500 0.000
Mg2 Mg 0.000 0.000 0.500
Mg3 Mg 0.500 0.000 0.000
# Calculated formation energy ... 837 meV per atom
# Density of states at the Fermi level ... 5.22 states/eV/f.u.

=====

Entry 2:
# Re3TcRu PBEsol relaxed
data_Re3TcRu
_space_group_name_H-M_alt 'P 1'
_space_group_IT_number 1
_cell_length_a 4.523
_cell_length_b 4.523
_cell_length_c 4.523
_cell_angle_alpha 90.00
_cell_angle_beta 90.00
_cell_angle_gamma 90.00
loop_
_space_group_symop_operation_xyz
'x,y,z'
loop_
_atom_site_label
_atom_site_type_symbol
_atom_site_fract_x
_atom_site_fract_y
_atom_site_fract_z
Re1 Re 0.000 0.500 0.000
Re2 Re 0.000 0.000 0.500
Re3 Re 0.500 0.000 0.000
Tc1 Tc 0.000 0.000 0.000
Ru1 Ru 0.500 0.500 0.500
# Calculated formation energy ... 2445 meV per atom
# Density of states at the Fermi level ... 6.20 states/eV/f.u.

=====

Entry 3:
# Y2Ru2O7 PBEsol relaxed
data_Y2Ru2O7
_space_group_name_H-M_alt 'P 1'
_space_group_IT_number 1
_cell_length_a 7.118
_cell_length_b 7.118
_cell_length_c 7.118
_cell_angle_alpha 60.00
_cell_angle_beta 60.00
_cell_angle_gamma 60.00
loop_
_space_group_symop_operation_xyz
'x,y,z'
loop_
_atom_site_label
_atom_site_type_symbol
_atom_site_fract_x
_atom_site_fract_y
_atom_site_fract_z
Y1 Y 0.625 0.625 0.125
Y2 Y 0.625 0.125 0.625
Y3 Y 0.625 0.625 0.625
Y4 Y 0.125 0.625 0.625
Ru1 Ru 0.125 0.125 0.625
Ru2 Ru 0.125 0.625 0.125
Ru3 Ru 0.125 0.125 0.125
Ru4 Ru 0.625 0.125 0.125
O1 O 0.500 0.500 0.500
O2 O 0.750 0.750 0.750
O3 O 0.209 0.209 0.791
O4 O 0.459 0.459 0.041
O5 O 0.791 0.209 0.791
O6 O 0.209 0.791 0.791
O7 O 0.791 0.209 0.209
O8 O 0.209 0.791 0.209
O9 O 0.791 0.791 0.209
O10 O 0.459 0.041 0.041
O11 O 0.041 0.459 0.459
O12 O 0.041 0.041 0.459
O13 O 0.041 0.459 0.041
O14 O 0.459 0.041 0.459
# Density of states at the Fermi level ... 8.36 states/eV/f.u.
# Formation energy (no corrections) ... -24.4 eV/f.u.

=====

Entry 4:
# Ba2FeHg PBEsol relaxed
data_Ba2FeHg
_space_group_name_H-M_alt 'P 1'
_space_group_IT_number 1
_cell_length_a 3.994
_cell_length_b 5.439
_cell_length_c 6.618
_cell_angle_alpha 114.13
_cell_angle_beta 107.56
_cell_angle_gamma 90.00
loop_
_space_group_symop_operation_xyz
'x,y,z'
loop_
_atom_site_label
_atom_site_type_symbol
_atom_site_fract_x
_atom_site_fract_y
_atom_site_fract_z
Ba1 Ba 0.025 0.025 0.049
Ba2 Ba 0.222 0.721 0.443
Fe1 Fe 0.451 0.452 0.902
Hg1 Hg 0.803 0.302 0.606
# Calculated formation energy ... 235 meV per atom
# Density of states at the Fermi level ... 6.83 states/eV/f.u.

=====

Entry 5:
# CoCu2Os PBEsol relaxed
data_CoCu2Os
_space_group_name_H-M_alt 'P 1'
_space_group_IT_number 1
_cell_length_a 2.481
_cell_length_b 4.590
_cell_length_c 4.590
_cell_angle_alpha 113.14
_cell_angle_beta 90.00
_cell_angle_gamma 90.00
loop_
_space_group_symop_operation_xyz
'x,y,z'
loop_
_atom_site_label
_atom_site_type_symbol
_atom_site_fract_x
_atom_site_fract_y
_atom_site_fract_z
Co1 Co 0.500 0.500 0.500
Cu1 Cu 0.000 0.500 0.000
Cu2 Cu 0.000 0.000 0.500
Os1 Os 0.500 0.000 0.000
# Calculated formation energy ... 345 meV per atom
# Density of states at the Fermi level ... 4.00 states/eV/f.u.
# E above lowest polymorph ... 151 meV/atom

=====

Entry 6:
# Tc3BiPt PBEsol relaxed
data_Tc3BiPt
_space_group_name_H-M_alt 'P 1'
_space_group_IT_number 1
_cell_length_a 4.807
_cell_length_b 4.807
_cell_length_c 4.807
_cell_angle_alpha 90.00
_cell_angle_beta 90.00
_cell_angle_gamma 90.00
loop_
_space_group_symop_operation_xyz
'x,y,z'
loop_
_atom_site_label
_atom_site_type_symbol
_atom_site_fract_x
_atom_site_fract_y
_atom_site_fract_z
Bi1 Bi 0.000 0.000 0.000
Pt1 Pt 0.500 0.500 0.500
Tc1 Tc 0.000 0.500 0.000
Tc2 Tc 0.000 0.000 0.500
Tc3 Tc 0.500 0.000 0.000
# Calculated formation energy ... 2810 meV per atom
# Density of states at the Fermi level ... 8.51 states/eV/f.u.

=====

Entry 7:
# Li2YMn PBEsol relaxed
data_Li2YMn
_space_group_name_H-M_alt 'P 1'
_space_group_IT_number 1
_cell_length_a 3.082
_cell_length_b 5.122
_cell_length_c 4.958
_cell_angle_alpha 90.00
_cell_angle_beta 95.07
_cell_angle_gamma 90.00
loop_
_space_group_symop_operation_xyz
'x,y,z'
loop_
_atom_site_label
_atom_site_type_symbol
_atom_site_fract_x
_atom_site_fract_y
_atom_site_fract_z
Li1 Li 0.714 0.000 0.782
Li2 Li 0.286 0.000 0.218
Mn1 Mn 0.500 0.500 0.000
Y1 Y 0.000 0.500 0.500
# Calculated formation energy ... 382 meV per atom
# Density of states at the Fermi level ... 3.94 states/eV/f.u.
# E above lowest polymorph ... 0 meV/atom

=====

Entry 8:
# La2AlSe PBEsol relaxed
data_La2AlSe
_space_group_name_H-M_alt 'P 1'
_space_group_IT_number 1
_cell_length_a 5.176
_cell_length_b 5.176
_cell_length_c 5.176
_cell_angle_alpha 60.00
_cell_angle_beta 60.00
_cell_angle_gamma 60.00
loop_
_space_group_symop_operation_xyz
'x,y,z'
loop_
_atom_site_label
_atom_site_type_symbol
_atom_site_fract_x
_atom_site_fract_y
_atom_site_fract_z
Al1 Al 0.500 0.500 0.500
Se1 Se 0.250 0.250 0.250
La1 La 0.000 0.000 0.000
La2 La 0.750 0.750 0.750
# Density of states at the Fermi level ... 3.78 states/eV/f.u.
# Formation energy (no corrections) ... -1.4 eV/f.u.
# E above lowest polymorph ... 686 meV/atom

=====

Listing energy for the structures above in their given order: -2.46; -9.84; -8.65; -3.22; -6.81; -6.20; -4.75; -5.00 eV/atom.